Below is crystalline SrCa2Cd at its relaxed geometry, with properties calculated at the GGA-PBEsol level.

Properties
Formation enthalpy at 0 K: -0.17 eV per atom
D(E_F): 3.83 states/eV per cell

abc: 3.9237 3.9237 9.3590
angles: 90.00 90.00 90.00
Closest atoms and distances in Å follow each position.
Positions (direct):
Sr1 0.0000 0.0000 0.0000  4 Cd 3.44, 1 Ca 3.71
Ca1 0.0000 0.0000 0.3969  4 Cd 3.24
Ca2 0.5000 0.5000 0.6817  8 Ca 3.85-3.92, 4 Sr 4.07
Cd1 0.5000 0.5000 0.2177  4 Ca 3.24, 4 Sr 3.44

Below is crystalline Sr2CaCd2 at its relaxed geometry, with properties calculated at the GGA-PBEsol level.

Properties
Formation enthalpy at 0 K: -0.26 eV per atom
D(E_F): 9.22 states/eV per cell

abc: 8.5917 8.5917 4.6946
angles: 90.00 90.00 90.00
Closest atoms and distances in Å follow each position.
Positions (direct):
Sr1 0.1679 0.3321 0.0000  6 Cd 3.43-3.47
Sr2 0.3321 0.8321 0.0000  6 Cd 3.43-3.47
Sr3 0.6679 0.1679 0.0000  6 Cd 3.43-3.47
Sr4 0.8321 0.6679 0.0000  6 Cd 3.43-3.47
Ca1 0.0000 0.0000 0.5000  4 Cd 3.39
Ca2 0.5000 0.5000 0.5000  4 Cd 3.39
Cd1 0.1261 0.6261 0.5000  1 Cd 3.07, 2 Ca 3.39, 2 Sr 3.43
Cd2 0.3739 0.1261 0.5000  1 Cd 3.07, 2 Ca 3.39, 2 Sr 3.43
Cd3 0.6261 0.8739 0.5000  1 Cd 3.07, 2 Ca 3.39, 2 Sr 3.43
Cd4 0.8739 0.3739 0.5000  1 Cd 3.07, 2 Ca 3.39, 2 Sr 3.43

Below is crystalline Sr2CaCd at its relaxed geometry, with properties calculated at the GGA-PBEsol level.

Properties
Formation enthalpy at 0 K: -0.13 eV per atom
D(E_F): 8.52 states/eV per cell

abc: 4.0720 6.0917 12.4594
angles: 90.00 90.00 90.00
Closest atoms and distances in Å follow each position.
Positions (direct):
Sr1 0.0000 0.0000 0.0000  4 Cd 3.67, 4 Sr 3.97-4.07, 2 Ca 3.98
Sr2 0.0000 0.5000 0.2041  2 Cd 3.35
Sr3 0.5000 0.0000 0.7041  2 Cd 3.35
Sr4 0.5000 0.5000 0.5000  4 Cd 3.67, 4 Sr 3.97-4.07, 2 Ca 3.98
Ca1 0.0000 0.5000 0.7949  2 Cd 3.18
Ca2 0.5000 0.0000 0.2949  2 Cd 3.18
Cd1 0.0000 0.0000 0.4906  2 Ca 3.18, 2 Sr 3.35
Cd2 0.5000 0.5000 0.9906  2 Ca 3.18, 2 Sr 3.35

Below is crystalline SrCa2Cd at its relaxed geometry, with properties calculated at the GGA-PBEsol level.

Properties
Formation enthalpy at 0 K: -0.17 eV per atom
D(E_F): 3.55 states/eV per cell

abc: 3.8954 3.8954 9.5229
angles: 90.00 90.00 90.00
Closest atoms and distances in Å follow each position.
Positions (direct):
Sr1 0.0000 0.0000 0.0000  4 Sr 3.90, 8 Ca 4.06
Ca1 0.5000 0.5000 0.3139  4 Cd 3.28, 1 Ca 3.54
Ca2 0.5000 0.5000 0.6861  4 Cd 3.28, 1 Ca 3.54
Cd1 0.0000 0.0000 0.5000  8 Ca 3.28

Below is crystalline SrCa2Cd at its relaxed geometry, with properties calculated at the GGA-PBEsol level.

Properties
Formation enthalpy at 0 K: -0.15 eV per atom
D(E_F): 8.10 states/eV per cell

abc: 3.9324 6.0018 12.2129
angles: 90.00 90.00 90.00
Closest atoms and distances in Å follow each position.
Positions (direct):
Sr1 0.0000 0.0000 0.0000  4 Cd 3.59, 4 Ca 3.92, 2 Sr 3.93
Sr2 0.5000 0.5000 0.5000  4 Cd 3.59, 4 Ca 3.92, 2 Sr 3.93
Ca1 0.0000 0.5000 0.2061  2 Cd 3.19
Ca2 0.0000 0.5000 0.7939  2 Cd 3.19
Ca3 0.5000 0.0000 0.2939  2 Cd 3.19
Ca4 0.5000 0.0000 0.7061  2 Cd 3.19
Cd1 0.0000 0.0000 0.5000  4 Ca 3.19
Cd2 0.5000 0.5000 0.0000  4 Ca 3.19

Below is crystalline SrCaCd2 at its relaxed geometry, with properties calculated at the GGA-PBEsol level.

Properties
Formation enthalpy at 0 K: -0.33 eV per atom
D(E_F): 2.50 states/eV per cell

abc: 5.4826 5.4826 3.8592
angles: 90.00 90.00 90.00
Closest atoms and distances in Å follow each position.
Positions (direct):
Sr1 0.0000 0.0000 0.0000  8 Cd 3.35
Ca1 0.5000 0.5000 0.0000  8 Cd 3.35
Cd1 0.0000 0.5000 0.5000  4 Ca 3.35, 4 Sr 3.35
Cd2 0.5000 0.0000 0.5000  4 Ca 3.35, 4 Sr 3.35

Below is crystalline SrCaCd2 at its relaxed geometry, with properties calculated at the GGA-PBEsol level.

Properties
Formation enthalpy at 0 K: -0.26 eV per atom
D(E_F): 4.83 states/eV per cell

abc: 12.0168 3.7168 5.5999
angles: 90.00 110.30 90.00
Closest atoms and distances in Å follow each position.
Positions (direct):
Sr1 0.0000 0.0000 0.0000  7 Cd 3.39-3.49, 2 Ca 3.61-3.62, 2 Sr 3.72
Sr2 0.5000 0.5000 0.0000  7 Cd 3.39-3.49, 2 Ca 3.61-3.62, 2 Sr 3.72
Ca1 0.2024 0.0000 0.6515  7 Cd 3.39-3.49, 2 Sr 3.61-3.62, 2 Ca 3.72
Ca2 0.7024 0.5000 0.6515  7 Cd 3.39-3.49, 2 Sr 3.61-3.62, 2 Ca 3.72
Cd1 0.2545 0.5000 0.1960  2 Cd 2.98
Cd2 0.4513 0.0000 0.4660  2 Cd 2.98
Cd3 0.7545 0.0000 0.1960  2 Cd 2.98
Cd4 0.9513 0.5000 0.4660  2 Cd 2.98

Below is crystalline Sr2CaCd at its relaxed geometry, with properties calculated at the GGA-PBEsol level.

Properties
Formation enthalpy at 0 K: -0.16 eV per atom
D(E_F): 3.94 states/eV per cell

abc: 4.0027 4.0027 9.6469
angles: 90.00 90.00 90.00
Closest atoms and distances in Å follow each position.
Positions (direct):
Sr1 0.0000 0.0000 0.1996  4 Cd 3.42
Sr2 0.0000 0.0000 0.8004  4 Cd 3.42
Ca1 0.5000 0.5000 0.5000  4 Ca 4.00, 8 Sr 4.05
Cd1 0.5000 0.5000 0.0000  8 Sr 3.42

Below is crystalline SrCa2Cd at its relaxed geometry, with properties calculated at the GGA-PBEsol level.

Properties
Formation enthalpy at 0 K: -0.10 eV per atom
D(E_F): 9.15 states/eV per cell

abc: 4.0581 5.9222 11.9741
angles: 90.00 90.00 90.00
Closest atoms and distances in Å follow each position.
Positions (direct):
Sr1 0.0000 0.0000 0.0000  2 Cd 3.33, 4 Ca 3.71
Sr2 0.5000 0.5000 0.5000  2 Cd 3.33, 4 Ca 3.71
Ca1 0.0000 0.0000 0.5783  2 Cd 3.15
Ca2 0.0000 0.5000 0.7902  4 Cd 3.59, 2 Sr 3.88, 4 Ca 3.90-4.00
Ca3 0.5000 0.0000 0.2902  4 Cd 3.59, 2 Sr 3.88, 4 Ca 3.90-4.00
Ca4 0.5000 0.5000 0.0783  2 Cd 3.15
Cd1 0.0000 0.5000 0.2800  2 Ca 3.15, 2 Sr 3.33
Cd2 0.5000 0.0000 0.7800  2 Ca 3.15, 2 Sr 3.33

Below is crystalline SrCa2Cd at its relaxed geometry, with properties calculated at the GGA-PBEsol level.

Properties
Formation enthalpy at 0 K: -0.08 eV per atom
D(E_F): 5.92 states/eV per cell

abc: 4.9933 4.9933 5.5557
angles: 90.00 90.00 90.00
Closest atoms and distances in Å follow each position.
Positions (direct):
Sr1 0.0000 0.0000 0.0000  4 Cd 3.53, 8 Ca 3.73
Ca1 0.0000 0.5000 0.5000  4 Ca 3.53, 4 Cd 3.73, 4 Sr 3.73
Ca2 0.5000 0.0000 0.5000  4 Ca 3.53, 4 Cd 3.73, 4 Sr 3.73
Cd1 0.5000 0.5000 0.0000  4 Sr 3.53, 8 Ca 3.73

Below is crystalline SrCaCd2 at its relaxed geometry, with properties calculated at the GGA-PBEsol level.

Properties
Formation enthalpy at 0 K: -0.25 eV per atom
D(E_F): 5.50 states/eV per cell

abc: 3.8050 5.5078 11.1973
angles: 90.00 90.00 90.00
Closest atoms and distances in Å follow each position.
Positions (direct):
Sr1 0.0000 0.0000 0.0000  6 Cd 3.39-3.45, 2 Ca 3.57
Sr2 0.5000 0.5000 0.5000  6 Cd 3.39-3.45, 2 Ca 3.57
Ca1 0.0000 0.5000 0.2030  6 Cd 3.38-3.40, 2 Sr 3.57
Ca2 0.5000 0.0000 0.7030  6 Cd 3.38-3.40, 2 Sr 3.57
Cd1 0.0000 0.0000 0.4537  2 Cd 2.91
Cd2 0.0000 0.5000 0.7572  2 Cd 2.91
Cd3 0.5000 0.0000 0.2572  2 Cd 2.91
Cd4 0.5000 0.5000 0.9537  2 Cd 2.91

Below is crystalline SrCaCd at its relaxed geometry, with properties calculated at the GGA-PBEsol level.

Properties
Formation enthalpy at 0 K: -0.23 eV per atom
D(E_F): 4.57 states/eV per cell

abc: 3.9080 3.9080 13.5268
angles: 90.00 90.00 90.00
Closest atoms and distances in Å follow each position.
Positions (direct):
Sr1 0.0000 0.0000 0.0000  4 Cd 3.44, 1 Ca 3.75
Sr2 0.5000 0.5000 0.5000  4 Cd 3.44, 1 Ca 3.75
Ca1 0.0000 0.0000 0.2774  4 Cd 3.25
Ca2 0.5000 0.5000 0.7774  4 Cd 3.25
Cd1 0.0000 0.0000 0.6511  4 Ca 3.25, 4 Sr 3.44
Cd2 0.5000 0.5000 0.1511  4 Ca 3.25, 4 Sr 3.44

Below is crystalline SrCaCd2 at its relaxed geometry, with properties calculated at the GGA-PBEsol level.

Properties
Formation enthalpy at 0 K: -0.21 eV per atom
D(E_F): 1.92 states/eV per cell

abc: 3.8703 3.8703 8.1980
angles: 90.00 90.00 90.00
Closest atoms and distances in Å follow each position.
Positions (direct):
Sr1 0.0000 0.0000 0.0000  5 Cd 3.36-3.46
Ca1 0.5000 0.5000 0.3671  5 Cd 3.23-3.24
Cd1 0.0000 0.0000 0.5777  4 Cd 3.12, 4 Ca 3.24, 1 Sr 3.46
Cd2 0.5000 0.5000 0.7613  4 Cd 3.12, 1 Ca 3.23, 4 Sr 3.36

Below is crystalline SrCaCd4 at its relaxed geometry, with properties calculated at the GGA-PBEsol level.

Properties
Formation enthalpy at 0 K: -0.33 eV per atom
D(E_F): 3.09 states/eV per cell

abc: 5.9850 5.9850 5.9850
angles: 60.00 60.00 60.00
Closest atoms and distances in Å follow each position.
Positions (direct):
Sr1 0.0000 0.0000 0.0000  12 Cd 3.51, 4 Ca 3.67
Ca1 0.7500 0.7500 0.7500  12 Cd 3.51, 4 Sr 3.67
Cd1 0.3752 0.3752 0.3752  6 Cd 2.99-3.00
Cd2 0.3752 0.3752 0.8745  6 Cd 2.99-3.00
Cd3 0.3752 0.8745 0.3752  6 Cd 2.99-3.00
Cd4 0.8745 0.3752 0.3752  6 Cd 2.99-3.00

Below is crystalline Sr2CaCd at its relaxed geometry, with properties calculated at the GGA-PBEsol level.

Properties
Formation enthalpy at 0 K: -0.16 eV per atom
D(E_F): 3.41 states/eV per cell

abc: 3.9838 3.9838 9.7570
angles: 90.00 90.00 90.00
Closest atoms and distances in Å follow each position.
Positions (direct):
Sr1 0.0000 0.0000 0.0000  4 Cd 3.46, 1 Ca 3.66
Sr2 0.5000 0.5000 0.3293  8 Sr 3.98-4.27, 4 Ca 4.03
Ca1 0.0000 0.0000 0.6251  4 Cd 3.26
Cd1 0.5000 0.5000 0.7935  4 Ca 3.26, 4 Sr 3.46

Below is crystalline CaTaCd at its relaxed geometry, with properties calculated at the GGA-PBEsol level.

Properties
Formation enthalpy at 0 K: 0.54 eV per atom
D(E_F): 5.21 states/eV per cell

abc: 2.9190 4.1360 11.2830
angles: 90.00 90.00 90.00
Closest atoms and distances in Å follow each position.
Positions (direct):
Ca1 0.0000 0.0000 0.0000  2 Ca 2.92, 4 Cd 3.25
Ca2 0.5000 0.5000 0.5000  2 Ca 2.92, 4 Cd 3.25
Ta1 0.0000 0.0000 0.3041  4 Cd 2.89, 2 Ta 2.92
Ta2 0.5000 0.5000 0.8041  4 Cd 2.89, 2 Ta 2.92
Cd1 0.0000 0.0000 0.6804  4 Ta 2.89, 2 Cd 2.92
Cd2 0.5000 0.5000 0.1804  4 Ta 2.89, 2 Cd 2.92

Below is crystalline CaTaCd2 at its relaxed geometry, with properties calculated at the GGA-PBEsol level.

Properties
Formation enthalpy at 0 K: 0.36 eV per atom
D(E_F): 6.09 states/eV per cell

abc: 9.8414 2.9033 6.1962
angles: 90.00 95.77 90.00
Closest atoms and distances in Å follow each position.
Positions (direct):
Ca1 0.0000 0.0000 0.0000  2 Ca 2.90, 2 Cd 3.12
Ca2 0.5000 0.5000 0.0000  2 Ca 2.90, 2 Cd 3.12
Ta1 0.0000 0.5000 0.5000  2 Ta 2.90, 6 Cd 2.96-3.01
Ta2 0.5000 0.0000 0.5000  2 Ta 2.90, 6 Cd 2.96-3.01
Cd1 0.2449 0.0000 0.7169  4 Cd 2.90-3.07, 3 Ta 2.96-3.01, 1 Ca 3.12
Cd2 0.2551 0.5000 0.2831  4 Cd 2.90-3.07, 3 Ta 2.96-3.01, 1 Ca 3.12
Cd3 0.7449 0.5000 0.7169  4 Cd 2.90-3.07, 3 Ta 2.96-3.01, 1 Ca 3.12
Cd4 0.7551 0.0000 0.2831  4 Cd 2.90-3.07, 3 Ta 2.96-3.01, 1 Ca 3.12

Below is crystalline Ca2Ta2Cd at its relaxed geometry, with properties calculated at the GGA-PBEsol level.

Properties
Formation enthalpy at 0 K: 1.10 eV per atom
D(E_F): 4.23 states/eV per cell

abc: 4.1471 4.1471 14.2797
angles: 90.00 90.00 90.00
Closest atoms and distances in Å follow each position.
Positions (direct):
Ca1 0.0000 0.5000 0.2500  4 Ca 2.93, 4 Ta 3.20
Ca2 0.0000 0.5000 0.7500  4 Ca 2.93, 4 Ta 3.20
Ca3 0.5000 0.0000 0.2500  4 Ca 2.93, 4 Ta 3.20
Ca4 0.5000 0.0000 0.7500  4 Ca 2.93, 4 Ta 3.20
Ta1 0.0000 0.0000 0.0789  1 Ta 2.25
Ta2 0.0000 0.0000 0.9211  1 Ta 2.25
Ta3 0.5000 0.5000 0.4211  1 Ta 2.25
Ta4 0.5000 0.5000 0.5789  1 Ta 2.25
Cd1 0.0000 0.0000 0.5000  8 Ta 3.14
Cd2 0.5000 0.5000 0.0000  8 Ta 3.14

Below is crystalline CaTa2CdTe at its relaxed geometry, with properties calculated at the GGA-PBEsol level.

Properties
Formation energy from raw total energies: 2141 meV per atom
D(E_F): 4.62 states/eV per cell

abc: 4.8323 4.8323 5.2831
angles: 90.00 90.00 90.00
Closest atoms and distances in Å follow each position.
Positions (direct):
Ca1 0.0000 0.0000 0.0000  4 Ta 2.42, 2 Cd 2.64
Ta1 0.0000 0.5000 0.0000  2 Ca 2.42
Ta2 0.5000 0.0000 0.0000  2 Ca 2.42
Cd1 0.0000 0.0000 0.5000  2 Ca 2.64
Te1 0.5000 0.5000 0.5000  4 Cd 3.42, 8 Ta 3.58

Below is crystalline CaCd2Tc at its relaxed geometry, with properties calculated at the GGA-PBEsol level.

Properties
Formation enthalpy at 0 K: 0.35 eV per atom
Energy above the lowest structure with this stoichiometry: 0.000 eV/atom
D(E_F): 6.37 states/eV per cell

abc: 3.1521 4.9633 10.4340
angles: 90.00 90.00 90.00
Closest atoms and distances in Å follow each position.
Positions (direct):
Ca1 0.0000 0.0000 0.0000  4 Tc 2.94, 2 Ca 3.15
Ca2 0.5000 0.5000 0.5000  4 Tc 2.94, 2 Ca 3.15
Cd1 0.0000 0.5000 0.2192  2 Tc 2.78, 4 Cd 3.01
Cd2 0.0000 0.5000 0.7808  2 Tc 2.78, 4 Cd 3.01
Cd3 0.5000 0.0000 0.2808  2 Tc 2.78, 4 Cd 3.01
Cd4 0.5000 0.0000 0.7192  2 Tc 2.78, 4 Cd 3.01
Tc1 0.0000 0.0000 0.5000  4 Cd 2.78, 4 Ca 2.94
Tc2 0.5000 0.5000 0.0000  4 Cd 2.78, 4 Ca 2.94